Computed, not measured: MoAs2OsS after structural relaxation at the PBE level of DFT.

Cell: 4.6370 4.6370 4.3341 Å, 90.00 90.00 90.00°
Space group P4/mmm (No. 123)
Symmetry-distinct sites (fractional):
Mo: 0.0000 0.0000 0.0000 (multiplicity 1)
As: 0.0000 0.5000 0.5000 (multiplicity 2)
Os: 0.5000 0.5000 0.0000 (multiplicity 1)
S: 0.0000 0.0000 0.5000 (multiplicity 1)

Calculated values
Its electronic total energy is -5.66 eV per atom. As for the uncorrected formation energy: 1.44 eV per atom.


Computed, not measured: ScMn9Os2 after structural relaxation at the PBE level of DFT.

Cell: 4.6978 4.6978 23.1191 Å, 90.00 90.00 120.00°
Space group R-3m (No. 166, hexagonal axes)
Symmetry-distinct sites (fractional):
Sc: 0.0000 0.0000 0.0000 (multiplicity 3)
Mn: 0.0000 0.0000 0.3406 (multiplicity 6)
Mn: 0.0000 0.0000 0.5000 (multiplicity 3)
Mn: 0.0149 0.5075 0.9141 (multiplicity 18)
Os: 0.0000 0.0000 0.1397 (multiplicity 6)

Calculated values
Its electronic total energy is -9.27 eV per atom. Its formation energy is 0.0058 eV/atom.


Computed, not measured: LaTb3SmDy after structural relaxation at the PBE level of DFT.

Cell: 19.9951 5.6865 7.0513 Å, 90.00 90.65 90.00°
Space group C2/m (No. 12)
Symmetry-distinct sites (fractional):
La: 0.1452 0.0000 0.0296 (multiplicity 4)
Tb: 0.0224 0.0000 0.7391 (multiplicity 4)
Tb: 0.1636 0.5000 0.7303 (multiplicity 4)
Tb: 0.2203 0.5000 0.2452 (multiplicity 4)
Sm: 0.0536 0.5000 0.2658 (multiplicity 4)
Dy: 0.1487 0.0000 0.4610 (multiplicity 4)

Calculated values
Its electronic total energy is -4.50 eV per atom. Its formation energy is 0.1913 eV/atom.


Computed, not measured: Pm6GeSe2S3 after structural relaxation at the PBE level of DFT.

Cell: 18.0333 4.1264 8.2711 Å, 90.00 103.03 90.00°
Space group C2/m (No. 12)
Symmetry-distinct sites (fractional):
Pm: 0.0022 0.0000 0.2508 (multiplicity 4)
Pm: 0.1599 0.5000 0.0932 (multiplicity 4)
Pm: 0.1651 0.5000 0.5716 (multiplicity 4)
Ge: 0.0000 0.5000 0.5000 (multiplicity 2)
Se: 0.1694 0.0000 0.8372 (multiplicity 4)
S: 0.0000 0.5000 0.0000 (multiplicity 2)
S: 0.1680 0.0000 0.3332 (multiplicity 4)

Calculated values
Its electronic total energy is -6.18 eV per atom. As for the uncorrected formation energy: -1.81 eV per atom.


Computed, not measured: MnFe2AgB after structural relaxation at the PBE level of DFT.

Cell: 4.6932 4.6932 4.8144 Å, 90.00 90.00 90.00°
Space group P4/mmm (No. 123)
Symmetry-distinct sites (fractional):
Mn: 0.0000 0.0000 0.0000 (multiplicity 1)
Fe: 0.0000 0.5000 0.5000 (multiplicity 2)
Ag: 0.0000 0.0000 0.5000 (multiplicity 1)
B: 0.5000 0.5000 0.0000 (multiplicity 1)

Calculated values
Its electronic total energy is -4.90 eV per atom. Its formation energy is 2.2200 eV/atom.


| no. | density (g/cm³) | density of states at the Fermi level (states/eV per atom) |
| --- | --- | --- |
| 1 | 8.34 | 1.20 |
| 2 | 10.37 | 0.94 |
| 3 | 7.69 | 1.56 |
| 4 | 6.63 | 0.36 |
| 5 | 4.47 | 1.18 |